[1]
Compound: YTl2Pb
Source: Alexandria via LeMat-Bulk
Functional: GGA-PBEsol
Structure: optimized geometry

Cell: 4.524 4.524 10.216 Å, 90.00 90.00 90.00°
Positions (direct):
Y: 0.000 0.000 0.000
Y: 0.500 0.500 0.500
Tl: 0.000 0.500 0.250
Tl: 0.000 0.500 0.750
Tl: 0.500 0.000 0.250
Tl: 0.500 0.000 0.750
Pb: 0.000 0.000 0.500
Pb: 0.500 0.500 0.000

Calculated values
**Formation enthalpy at 0 K**: -279 meV/atom
**Spin magnetization**: 0.000 μB/f.u.
**VASP energy**: -34.4 eV per cell
**DOS(E_F)**: 2.40 states/eV/f.u.



[2]
Compound: KAl
Source: Alexandria via LeMat-Bulk
Functional: GGA-PBEsol
Structure: optimized geometry

Cell: 3.536 4.671 9.025 Å, 90.00 100.71 90.00°
Positions (direct):
K: 0.139 0.250 0.292
K: 0.861 0.750 0.708
Al: 0.470 0.250 0.937
Al: 0.530 0.750 0.063

Calculated values
**Energy relative to the lowest polymorph listed for this composition**: 0.0 meV/atom
**Formation enthalpy at 0 K**: 302 meV/atom
**Spin magnetization**: 0.000 μB/f.u.
**VASP energy**: -9.2 eV per cell
**DOS(E_F)**: 1.05 states/eV/f.u.



[3]
Compound: PtAu3
Source: Alexandria via LeMat-Bulk
Functional: GGA-PBEsol
Structure: optimized geometry

Cell: 4.762 5.684 4.859 Å, 90.00 90.00 90.00°
Positions (direct):
Pt: 0.250 0.250 0.172
Pt: 0.750 0.750 0.828
Au: 0.250 0.000 0.670
Au: 0.250 0.500 0.670
Au: 0.250 0.750 0.164
Au: 0.750 0.000 0.330
Au: 0.750 0.250 0.836
Au: 0.750 0.500 0.330

Calculated values
**Formation enthalpy at 0 K**: 53 meV/atom
**Spin magnetization**: 0.000 μB/f.u.
**VASP energy**: -37.0 eV per cell
**DOS(E_F)**: 1.32 states/eV/f.u.



[4]
Compound: MnBeRh2
Source: Alexandria via LeMat-Bulk
Functional: GGA-PBEsol
Structure: optimized geometry

Cell: 2.684 2.684 6.233 Å, 90.00 90.00 90.00°
Positions (direct):
Mn: 0.000 0.000 0.000
Be: 0.000 0.000 0.500
Rh: 0.500 0.500 0.272
Rh: 0.500 0.500 0.728

Calculated values
**Formation enthalpy at 0 K**: -299 meV/atom
**Spin magnetization**: 1.041 μB/f.u.
**VASP energy**: -31.2 eV per cell
**DOS(E_F)**: 2.83 states/eV/f.u.



[5]
Compound: Hf2CoHgO
Source: Alexandria via LeMat-Bulk
Functional: GGA-PBEsol
Structure: optimized geometry

Cell: 5.120 5.120 4.550 Å, 90.00 90.00 90.00°
Positions (direct):
Hf: 0.000 0.500 0.000
Hf: 0.500 0.000 0.000
Co: 0.000 0.000 0.500
Hg: 0.000 0.000 0.000
O: 0.500 0.500 0.500

Calculated values
**E_form (uncorrected)**: 8.158 eV per formula unit
**Spin magnetization**: 0.863 μB/f.u.
**VASP energy**: -26.4 eV per cell
**DOS(E_F)**: 7.06 states/eV/f.u.



[6]
Compound: CaIn2Sb
Source: Alexandria via LeMat-Bulk
Functional: GGA-PBEsol
Structure: optimized geometry

Cell: 4.539 4.539 4.983 Å, 90.00 90.00 90.00°
Positions (direct):
Ca: 0.000 0.000 0.000
In: 0.000 0.500 0.500
In: 0.500 0.000 0.500
Sb: 0.500 0.500 0.000

Calculated values
**E_form (uncorrected)**: -1.825 eV per formula unit
**Spin magnetization**: 0.000 μB/f.u.
**VASP energy**: -14.5 eV per cell
**DOS(E_F)**: 1.40 states/eV/f.u.



- VASP energy of number 2 (KAl)?
  -9.2 eV per cell



Copy entry 6 word for word.
Compound: CaIn2Sb
Source: Alexandria via LeMat-Bulk
Functional: GGA-PBEsol
Structure: optimized geometry

Cell: 4.539 4.539 4.983 Å, 90.00 90.00 90.00°
Positions (direct):
Ca: 0.000 0.000 0.000
In: 0.000 0.500 0.500
In: 0.500 0.000 0.500
Sb: 0.500 0.500 0.000

Calculated values
**E_form (uncorrected)**: -1.825 eV per formula unit
**Spin magnetization**: 0.000 μB/f.u.
**VASP energy**: -14.5 eV per cell
**DOS(E_F)**: 1.40 states/eV/f.u.